{
  "formula": "Be2VBCl",
  "functional": "PBE",
  "state": "optimized geometry",
  "lattice": [[3.770, 0.000, 0.000], [0.000, 3.770, 0.000], [0.000, 0.000, 4.657]],
  "species": ["Be", "Be", "V", "B", "Cl"],
  "fractional_positions": [[0.000, 0.500, 0.000], [0.500, 0.000, 0.000], [0.000, 0.000, 0.500], [0.500, 0.500, 0.500], [0.500, 0.500, 0.000]],
  "m_tot_mub_per_fu": 1.97,
  "dos_ef_per_ev_fu": 3.1,
  "energy_ev_per_atom": -3.47,
  "spacegroup": "No. 123"
}



{
  "formula": "Pr2AlS4",
  "functional": "PBE",
  "state": "optimized geometry",
  "lattice": [[6.729, 0.000, 0.000], [0.000, 6.525, 0.000], [-2.247, 0.000, 7.392]],
  "species": ["Pr", "Pr", "Pr", "Pr", "Al", "Al", "S", "S", "S", "S", "S", "S", "S", "S"],
  "fractional_positions": [[0.229, 0.250, 0.060], [0.245, 0.250, 0.559], [0.755, 0.750, 0.441], [0.771, 0.750, 0.940], [0.241, 0.750, 0.809], [0.759, 0.250, 0.191], [0.004, 0.004, 0.747], [0.004, 0.496, 0.747], [0.422, 0.750, 0.100], [0.423, 0.750, 0.609], [0.577, 0.250, 0.391], [0.578, 0.250, 0.900], [0.996, 0.504, 0.253], [0.996, 0.996, 0.253]],
  "m_tot_mub_per_fu": 0.00,
  "dos_ef_per_ev_fu": 1.7,
  "energy_ev_per_atom": -5.88,
  "spacegroup": "No. 11"
}



Formation energy without anion corrections for every record listed, in sequence, given in eV per atom: 1.551 -1.626.